No. 1
# ScSiN2O

A relaxed structure of ScSiN2O (PBE-GGA, Alexandria via LeMat-Bulk).

Properties
The calculation puts the density of states at the Fermi level at 2.05 states/eV/f.u. Its uncorrected formation energy is 2.2 eV per formula unit. Its volume is 14.27 Å³/atom. As for the total moment: 3.0 Bohr magnetons per cell.

```
data_ScSiN2O
_cell_length_a 4.231
_cell_length_b 4.231
_cell_length_c 3.988
_cell_angle_alpha 90.00
_cell_angle_beta 90.00
_cell_angle_gamma 90.00
_space_group_name_H-M_alt 'P 4/m m m'
_space_group_IT_number 123
_space_group_name_Hall '-P 4 2'
loop_
_atom_site_label
_atom_site_type_symbol
_atom_site_fract_x
_atom_site_fract_y
_atom_site_fract_z
Sc1 Sc 0.000 0.000 0.000
Si1 Si 0.500 0.500 0.500
N1 N 0.000 0.500 0.000
O1 O 0.000 0.000 0.500
```



No. 2
# CeCoMo

A relaxed structure of CeCoMo (PBE-GGA, Alexandria via LeMat-Bulk).

Properties
The calculation puts the density of states at the Fermi level at 5.06 states/eV/f.u. Its formation energy is 0.3710 eV per atom. Its volume is 17.59 Å³/atom. As for the total moment: 0.0 Bohr magnetons per cell.

```
data_CeCoMo
_cell_length_a 5.258
_cell_length_b 6.936
_cell_length_c 11.579
_cell_angle_alpha 90.00
_cell_angle_beta 90.00
_cell_angle_gamma 90.00
_space_group_name_H-M_alt 'F m m m'
_space_group_IT_number 69
_space_group_name_Hall '-F 2 2'
loop_
_atom_site_label
_atom_site_type_symbol
_atom_site_fract_x
_atom_site_fract_y
_atom_site_fract_z
Ce1 Ce 0.000 0.194 0.000
Co1 Co 0.000 0.000 0.378
Mo1 Mo 0.250 0.250 0.250
```



No. 3
# PmNd2Dy2Y6

A relaxed structure of PmNd2Dy2Y6 (PBE-GGA, Alexandria via LeMat-Bulk).

Properties
The calculation puts the density of states at the Fermi level at 17.81 states/eV/f.u. Its formation energy is 0.1493 eV per atom. Its volume is 33.56 Å³/atom. As for the total moment: 0.0 Bohr magnetons per cell.

```
data_PmNd2Dy2Y6
_cell_length_a 5.716
_cell_length_b 12.092
_cell_length_c 10.682
_cell_angle_alpha 90.00
_cell_angle_beta 90.04
_cell_angle_gamma 90.00
_space_group_name_H-M_alt 'C 1 2/m 1'
_space_group_IT_number 12
_space_group_name_Hall '-C 2y'
loop_
_atom_site_label
_atom_site_type_symbol
_atom_site_fract_x
_atom_site_fract_y
_atom_site_fract_z
Pm1 Pm 0.000 0.000 0.000
Nd1 Nd 0.000 0.366 0.500
Dy1 Dy 0.000 0.296 0.000
Y1 Y 0.001 0.153 0.710
Y2 Y 0.001 0.500 0.793
```



No. 4
# Sr2LaInNi

A relaxed structure of Sr2LaInNi (PBE-GGA, Alexandria via LeMat-Bulk).

Properties
The calculation puts the density of states at the Fermi level at 5.69 states/eV/f.u. Its formation energy is -0.1177 eV per atom. Its volume is 35.40 Å³/atom. As for the total moment: 0.0 Bohr magnetons per cell.

```
data_Sr2LaInNi
_cell_length_a 5.778
_cell_length_b 5.778
_cell_length_c 5.303
_cell_angle_alpha 90.00
_cell_angle_beta 90.00
_cell_angle_gamma 90.00
_space_group_name_H-M_alt 'P 4/m m m'
_space_group_IT_number 123
_space_group_name_Hall '-P 4 2'
loop_
_atom_site_label
_atom_site_type_symbol
_atom_site_fract_x
_atom_site_fract_y
_atom_site_fract_z
Sr1 Sr 0.000 0.500 0.000
La1 La 0.000 0.000 0.500
In1 In 0.500 0.500 0.500
Ni1 Ni 0.000 0.000 0.000
```



No. 5
# PmCl2

A relaxed structure of PmCl2 (PBE-GGA, Alexandria via LeMat-Bulk).

Properties
The calculation puts the density of states at the Fermi level at 1.46 states/eV/f.u. Its polymorph energy (0 for the lowest one) is 0.073 eV per atom. Its uncorrected formation energy is -5.8 eV per formula unit. Its volume is 29.90 Å³/atom. As for the total moment: 0.0 Bohr magnetons per cell.

```
data_PmCl2
_cell_length_a 7.107
_cell_length_b 7.107
_cell_length_c 3.551
_cell_angle_alpha 90.00
_cell_angle_beta 90.00
_cell_angle_gamma 90.00
_space_group_name_H-M_alt 'P 42/m n m'
_space_group_IT_number 136
_space_group_name_Hall '-P 4n 2n'
loop_
_atom_site_label
_atom_site_type_symbol
_atom_site_fract_x
_atom_site_fract_y
_atom_site_fract_z
Pm1 Pm 0.000 0.000 0.000
Cl1 Cl 0.220 0.220 0.500
```



No. 6
# CuTe2N

A relaxed structure of CuTe2N (PBE-GGA, Alexandria via LeMat-Bulk).

Properties
The calculation puts the density of states at the Fermi level at 2.63 states/eV/f.u. Its uncorrected formation energy is 4.1 eV per formula unit. Its volume is 19.87 Å³/atom. As for the total moment: 0.0 Bohr magnetons per cell.

```
data_CuTe2N
_cell_length_a 3.3193
_cell_length_b 3.3193
_cell_length_c 24.9851
_cell_angle_alpha 90.00
_cell_angle_beta 90.00
_cell_angle_gamma 120.00
_space_group_name_H-M_alt 'R -3 m'
_space_group_IT_number 166
_space_group_name_Hall '-R 3 2"'
loop_
_atom_site_label
_atom_site_type_symbol
_atom_site_fract_x
_atom_site_fract_y
_atom_site_fract_z
Cu1 Cu 0.0000 0.0000 0.0000
Te1 Te 0.0000 0.0000 0.1016
N1 N 0.0000 0.0000 0.5000
```